This record from the Alexandria database describes an optimized crystal structure of TaGe3C. The functional is GGA-PBE.

Output
DFT formation energy, eV per atom: 1.130
Offset from the most stable computed form, meV/atom: 0
Electronic total energy, eV for the cell shown: -29.28

Cell lengths 4.2726, 4.2726, 4.2726 Å; angles 90.00, 90.00, 90.00 degrees
Fractional positions:
Ta (0.0000, 0.0000, 0.0000)
Ge (0.0000, 0.5000, 0.5000)
Ge (0.5000, 0.0000, 0.5000)
Ge (0.5000, 0.5000, 0.0000)
C (0.5000, 0.5000, 0.5000)

=====

This record from the Alexandria database describes an optimized crystal structure of Ta4GeC. The functional is GGA-PBE.

Output
DFT formation energy, eV per atom: -0.222
Electronic total energy, eV for the cell shown: -125.17

Cell lengths 6.8588, 6.8588, 6.0576 Å; angles 105.82, 105.82, 44.60 degrees
Fractional positions:
Ta (0.0059, 0.8087, 0.5434)
Ta (0.1913, 0.9941, 0.9566)
Ta (0.2119, 0.4024, 0.8525)
Ta (0.4024, 0.2119, 0.3525)
Ta (0.5976, 0.7881, 0.6475)
Ta (0.7881, 0.5976, 0.1475)
Ta (0.8087, 0.0059, 0.0434)
Ta (0.9941, 0.1913, 0.4566)
Ge (0.3793, 0.6207, 0.2500)
Ge (0.6207, 0.3793, 0.7500)
C (0.0000, 0.5000, 0.5000)
C (0.5000, 0.0000, 0.0000)

=====

This record from the Alexandria database describes an optimized crystal structure of TaGeC3. The functional is GGA-PBE.

Output
DFT formation energy, eV per atom: 2.310
Offset from the most stable computed form, meV/atom: 432
Electronic total energy, eV for the cell shown: -32.59

Cell lengths 3.8489, 3.8489, 3.8489 Å; angles 90.00, 90.00, 90.00 degrees
Fractional positions:
Ta (0.0000, 0.0000, 0.0000)
Ge (0.5000, 0.5000, 0.5000)
C (0.0000, 0.5000, 0.5000)
C (0.5000, 0.0000, 0.5000)
C (0.5000, 0.5000, 0.0000)

=====

This record from the Alexandria database describes an optimized crystal structure of Ta7Ge2C2. The functional is GGA-PBE.

Output
DFT formation energy, eV per atom: -0.204
Electronic total energy, eV for the cell shown: -112.90

Cell lengths 8.0840, 8.0840, 8.0840 Å; angles 158.39, 64.79, 119.75 degrees
Fractional positions:
Ta (0.0000, 0.0000, 0.0000)
Ta (0.0569, 0.3747, 0.6822)
Ta (0.0708, 0.7253, 0.3456)
Ta (0.3797, 0.7253, 0.6544)
Ta (0.4234, 0.5605, 0.8629)
Ta (0.6925, 0.3747, 0.3178)
Ta (0.6976, 0.5605, 0.1371)
Ge (0.3272, 0.3272, 0.0000)
Ge (0.7176, 0.2176, 0.5000)
C (0.3414, 0.0965, 0.2449)
C (0.8516, 0.0965, 0.7551)